1.
A relaxed TaCr2Tc crystal, computed with PBE.

Properties
DOS(E_F)	1.0910	states/eV/atom
ΔH_f (0 K)	285	meV/atom
E above lowest polymorph	343	meV per atom
total energy	-10.08	eV/atom

Cell lengths 2.8766, 2.8766, 24.1076 Å; angles 90.00, 90.00, 120.00 degrees
Space group R3m (No. 160, hexagonal axes)
Symmetry-distinct sites (fractional):
1 Ta 0.0000 0.0000 0.0000 (multiplicity 3)
2 Cr 0.0000 0.0000 0.2458 (multiplicity 3)
3 Cr 0.0000 0.0000 0.5080 (multiplicity 3)
4 Tc 0.0000 0.0000 0.7602 (multiplicity 3)

=====

2.
A relaxed CsBaGa2F8 crystal, computed with PBE.

Properties
DOS(E_F)	0.2551	states/eV/atom
uncorrected formation energy	-2.75	eV/atom
total energy	-4.73	eV/atom

Cell lengths 5.8706, 5.8706, 9.5673 Å; angles 90.00, 90.00, 120.00 degrees
Space group P-3 (No. 147)
Symmetry-distinct sites (fractional):
1 Cs 0.0000 0.0000 0.0000 (multiplicity 1)
2 Ba 0.0000 0.0000 0.5000 (multiplicity 1)
3 Ga 0.3333 0.6667 0.7578 (multiplicity 2)
4 F 0.0584 0.3499 0.6897 (multiplicity 6)
5 F 0.3333 0.6667 0.9488 (multiplicity 2)

=====

3.
A relaxed Ba2CdGa3Hg4 crystal, computed with PBE.

Properties
DOS(E_F)	0.5934	states/eV/atom
ΔH_f (0 K)	-350	meV/atom
total energy	-1.85	eV/atom

Cell lengths 4.821, 4.821, 11.667 Å; angles 90.00, 90.00, 90.00 degrees
Space group P-4m2 (No. 115)
Symmetry-distinct sites (fractional):
1 Ba 0.000 0.500 0.245 (multiplicity 2)
2 Cd 0.000 0.000 0.500 (multiplicity 1)
3 Ga 0.000 0.500 0.871 (multiplicity 2)
4 Ga 0.500 0.500 0.500 (multiplicity 1)
5 Hg 0.000 0.000 0.000 (multiplicity 1)
6 Hg 0.000 0.500 0.637 (multiplicity 2)
7 Hg 0.500 0.500 0.000 (multiplicity 1)

=====

4.
A relaxed NiSnIrAu crystal, computed with PBE.

Properties
DOS(E_F)	1.0499	states/eV/atom
ΔH_f (0 K)	55	meV/atom
total energy	-5.43	eV/atom

Cell lengths 6.369, 6.369, 6.369 Å; angles 90.00, 90.00, 90.00 degrees
Space group F-43m (No. 216)
Symmetry-distinct sites (fractional):
1 Ni 0.000 0.000 0.000 (multiplicity 4)
2 Sn 0.250 0.250 0.250 (multiplicity 4)
3 Ir 0.000 0.000 0.500 (multiplicity 4)
4 Au 0.250 0.250 0.750 (multiplicity 4)

=====

- Look up the total energy of the first one.
  -10.08 eV/atom